No. 1
## SbCl (PBE)

Data for SbCl after structural relaxation.

Results
Relative energy among the computed polymorphs = 0.183 eV per formula unit
E_form (uncorrected) = -0.3834 eV/atom
Theoretical density = 3.544 Mg/m³

The structure in POSCAR format:
```
SbCl
1.0
-1.5099 3.6096 -1.2988
-8.6471 -3.5581 0.1638
-1.1981 3.4125 10.8764
Cl Sb
6 6
direct
0.0000 0.3514 0.0000
0.5000 0.6486 0.5000
0.0000 0.8143 0.7546
0.5000 0.1857 0.2546
0.0000 0.8143 0.2454
0.5000 0.1857 0.7454
0.5000 0.4233 0.3484
0.5000 0.7208 0.0000
0.0000 0.2792 0.5000
0.5000 0.4233 0.6516
0.0000 0.5767 0.1516
0.0000 0.5767 0.8484
```

No. 2
## Pm12NdEr6 (PBE)

Data for Pm12NdEr6 after structural relaxation.

Results
Relative energy among the computed polymorphs = 0.000 eV per formula unit
Energy relative to the elements = 2.58 eV per formula unit
Theoretical density = 7.448 Mg/m³

The structure in POSCAR format:
```
Pm12NdEr6
1.0
8.5673 0.7001 0.8388
-0.6068 8.5744 0.8388
-0.6068 -0.7069 8.5863
Pm Er Nd
12 6 1
direct
0.2199 0.4629 0.5668
0.7801 0.5371 0.4332
0.1981 0.3620 0.0163
0.0163 0.1981 0.3620
0.3620 0.0163 0.1981
0.4332 0.7801 0.5371
0.5668 0.2199 0.4629
0.9837 0.8019 0.6380
0.4629 0.5668 0.2199
0.8019 0.6380 0.9837
0.6380 0.9837 0.8019
0.5371 0.4332 0.7801
0.9009 0.3010 0.7417
0.2583 0.0991 0.6990
0.7417 0.9009 0.3010
0.6990 0.2583 0.0991
0.3010 0.7417 0.9009
0.0991 0.6990 0.2583
0.0000 0.0000 0.0000
```

No. 3
## Pr8Nd (PBE)

Data for Pr8Nd after structural relaxation.

Results
Energy relative to the elements = 0.10 eV per formula unit
Theoretical density = 6.483 Mg/m³

The structure in POSCAR format:
```
Pr8Nd
1.0
5.2498 0.0000 0.0000
2.6249 7.8764 0.0000
2.6249 0.0000 7.8764
Pr Nd
8 1
direct
0.6669 0.3331 0.3331
0.0000 0.3331 0.6669
0.0000 0.6669 0.3331
0.3336 0.3328 0.0000
0.6664 0.6672 0.0000
0.6664 0.0000 0.6672
0.3331 0.6669 0.6669
0.3336 0.0000 0.3328
0.0000 0.0000 0.0000
```

No. 4
## Ta2RhAu (PBE)

Data for Ta2RhAu after structural relaxation.

Results
Energy relative to the elements = -0.83 eV per formula unit
Theoretical density = 16.338 Mg/m³

The structure in POSCAR format:
```
Ta2RhAu
1.0
4.6628 0.0000 0.0000
0.0000 2.8771 -0.0042
0.0000 0.2276 5.0133
Ta Rh Au
2 1 1
direct
0.0000 0.0712 0.9447
0.5000 0.1741 0.2971
0.5000 0.6385 0.8038
0.0000 0.6162 0.4545
```

No. 5
## Tb2SmY2Er (PBE)

Data for Tb2SmY2Er after structural relaxation.

Results
Energy relative to the elements = 0.62 eV per formula unit
Theoretical density = 6.891 Mg/m³

The structure in POSCAR format:
```
Tb2SmY2Er
1.0
3.5354 0.0000 0.0000
0.0000 6.0880 0.0000
0.0000 0.0000 18.2115
Er Sm Tb Y
2 2 4 4
direct
0.0000 0.0000 0.0000
0.5000 0.5000 0.5000
0.5000 0.5000 0.0000
0.0000 0.0000 0.5000
0.5000 0.8357 0.1541
0.5000 0.1643 0.8459
0.0000 0.3357 0.3459
0.0000 0.6643 0.6541
0.5000 0.8362 0.3406
0.0000 0.6638 0.8406
0.0000 0.3362 0.1594
0.5000 0.1638 0.6594
```

No. 6
## CaAl3Cl (PBE)

Data for CaAl3Cl after structural relaxation.

Results
Relative energy among the computed polymorphs = 0.000 eV per formula unit
E_form (uncorrected) = 0.2565 eV/atom
Theoretical density = 1.963 Mg/m³

The structure in POSCAR format:
```
CaAl3Cl
1.0
-5.0006 -0.3984 0.8986
-0.4986 -2.9872 -4.0988
0.8471 -4.1097 2.8921
Cl Al Ca
1 3 1
direct
0.0000 0.0000 0.0000
0.5000 0.0000 0.0000
0.0000 0.5000 0.0000
0.0000 0.0000 0.5000
0.5000 0.5000 0.5000
```

No. 7
## TaFe2Si2 (PBE)

Data for TaFe2Si2 after structural relaxation.

Results
E_form (uncorrected) = -0.3533 eV/atom
Theoretical density = 9.311 Mg/m³

The structure in POSCAR format:
```
TaFe2Si2
1.0
-3.2009 -5.5033 -2.4572
2.6431 1.2186 -6.1725
2.1205 -1.5060 0.6107
Si Fe Ta
4 4 2
direct
0.6392 0.1392 0.0000
0.3608 0.8608 0.0000
0.8608 0.6392 0.0000
0.1392 0.3608 0.0000
0.1516 0.6516 0.5000
0.6516 0.8484 0.5000
0.3484 0.1516 0.5000
0.8484 0.3484 0.5000
0.0000 0.0000 0.0000
0.5000 0.5000 0.0000
```

No. 8
## Lu2IrPd (PBE)

Data for Lu2IrPd after structural relaxation.

Results
Relative energy among the computed polymorphs = 0.000 eV per formula unit
Energy relative to the elements = -4.07 eV per formula unit
Theoretical density = 13.833 Mg/m³

The structure in POSCAR format:
```
Lu2IrPd
1.0
4.7929 0.0000 0.0000
2.3965 4.1508 0.0000
2.3965 1.3836 3.9134
Lu Pd Ir
2 1 1
direct
0.7500 0.7500 0.7500
0.2500 0.2500 0.2500
0.0000 0.0000 0.0000
0.5000 0.5000 0.5000
```